HoZnCuS3: optimized geometry, PBE.

For the final energy, the calculation gives -4.595 eV per atom. The value obtained for the volume is 453.6 Å³/cell. For the calculated density, the calculation gives 5.71 Mg/m³. The total magnetization comes out at 0.0 μB per formula unit.

The space group is Cmcm (No. 63) and the conventional cell measures 3.661, 12.003 and 10.323 Å, with angles of 90.00, 90.00 and 90.00 degrees. The distinct sites, in fractional coordinates, are Ho at (0.000, 0.000, 0.000), Zn at (0.000, 0.235, 0.250), Cu at (0.000, 0.482, 0.750), S at (0.000, 0.107, 0.750) and S at (0.000, 0.354, 0.586).